(1)
A relaxed In3Ag5Au crystal. Source: the Alexandria database, functional PBE.

Unit cell a=8.4977 b=8.4977 c=8.1676 alpha=121.35 beta=121.35 gamma=90.00
Last column: nearest neighbours and their distance in Å.
Atoms (fractional coordinates):
In 0.7500 0.7500 0.5000  2 Ag 2.77
Ag 0.9358 0.4358 0.2692  1 In 2.68, 1 Au 2.71, 2 Ag 2.83-2.98
Ag 0.8334 0.9358 0.2692  1 In 2.68, 1 Au 2.71, 2 Ag 2.83-2.98
Ag 0.1666 0.0642 0.7308  1 In 2.68, 1 Au 2.71, 2 Ag 2.83-2.98
Au 0.2500 0.7500 0.5000  4 Ag 2.71
In 0.3837 0.8837 0.0000  2 Ag 2.68, 1 In 2.79
Ag 0.0000 0.0000 0.0000  2 In 2.77
In 0.1163 0.3837 0.0000  2 Ag 2.68, 1 In 2.79
Ag 0.4358 0.3334 0.2692  1 In 2.68, 1 Au 2.71, 2 Ag 2.83-2.98
Ag 0.5642 0.6666 0.7308  1 In 2.68, 1 Au 2.71, 2 Ag 2.83-2.98
Ag 0.3334 0.8334 0.2692  1 In 2.68, 1 Au 2.71, 2 Ag 2.83-2.98
In 0.2500 0.2500 0.5000  2 Ag 2.77
In 0.6163 0.1163 0.0000  2 Ag 2.68, 1 In 2.79
Au 0.7500 0.2500 0.5000  4 Ag 2.71
In 0.8837 0.6163 0.0000  2 Ag 2.68, 1 In 2.79
Ag 0.5000 0.5000 0.0000  2 In 2.77
Ag 0.0642 0.5642 0.7308  1 In 2.68, 1 Au 2.71, 2 Ag 2.83-2.98
Ag 0.6666 0.1666 0.7308  1 In 2.68, 1 Au 2.71, 2 Ag 2.83-2.98

## Properties
- E_form: 0.1497 eV per atom
- Volume: 399.5 Å³/cell
- Space group: I4/mcm (140)

---

(2)
A relaxed InAg5Au2 crystal. Source: the Alexandria database, functional PBE.

Unit cell a=4.1823 b=5.9110 c=11.9232 alpha=90.00 beta=90.00 gamma=90.00
Last column: nearest neighbours and their distance in Å.
Atoms (fractional coordinates):
Ag 0.5000 0.7348 0.6284  4 Au 2.91-3.02, 6 Ag 2.94, 2 In 3.03
Ag 0.0000 0.4857 0.7503  7 Ag 2.94-2.99, 4 Au 2.95-2.98, 1 In 2.98
Au 0.5000 0.7574 0.3754  10 Ag 2.91-3.02, 2 In 2.94
In 0.0000 0.5000 0.0000  4 Au 2.94, 8 Ag 2.96-3.03
Ag 0.0000 0.5000 0.5000  6 Ag 2.94-2.99, 2 In 2.96, 4 Au 2.98
Ag 0.0000 0.0143 0.2503  7 Ag 2.94-2.99, 4 Au 2.95-2.98, 1 In 2.98
Ag 0.5000 0.2348 0.8716  4 Au 2.91-3.02, 6 Ag 2.94, 2 In 3.03
Ag 0.0000 0.5143 0.2497  7 Ag 2.94-2.99, 4 Au 2.95-2.98, 1 In 2.98
Au 0.5000 0.2426 0.6246  10 Ag 2.91-3.02, 2 In 2.94
Ag 0.5000 0.7652 0.1284  4 Au 2.91-3.02, 6 Ag 2.94, 2 In 3.03
Ag 0.0000 0.9857 0.7497  7 Ag 2.94-2.99, 4 Au 2.95-2.98, 1 In 2.98
Au 0.5000 0.2574 0.1246  10 Ag 2.91-3.02, 2 In 2.94
Ag 0.5000 0.2652 0.3716  4 Au 2.91-3.02, 6 Ag 2.94, 2 In 3.03
In 0.0000 0.0000 0.5000  4 Au 2.94, 8 Ag 2.96-3.03
Au 0.5000 0.7426 0.8754  10 Ag 2.91-3.02, 2 In 2.94
Ag 0.0000 0.0000 0.0000  6 Ag 2.94-2.99, 2 In 2.96, 4 Au 2.98

## Properties
- E_form: -0.0621 eV per atom
- Volume: 294.8 Å³/cell
- Space group: Pbam (55)

---

| no. | spin magnetization (μB per atom) | energy (eV/atom) |
| --- | --- | --- |
| 1 | 0.000 | -2.711 |
| 2 | 0.000 | -3.006 |